[1]
A plane-wave DFT calculation with GGA-PBE was carried out for an optimized crystal structure of Tb10CeHo6.

Computed properties:
The formation enthalpy at 0 K is 0.15 eV/atom. The calculated density comes out at 8.3 g cm⁻³. The calculation puts the volume at 546.6 Å³/cell. As for the crystal system: trigonal. As for the total magnetization: 1.0 Bohr magnetons per cell.

Unit cell a=9.6338 b=9.6338 c=6.8003 alpha=90.00 beta=90.00 gamma=120.00
Element x y z (fractional)
Tb 0.0000 0.2735 0.1848
Tb 0.0000 0.7265 0.8152
Tb 0.2735 0.0000 0.1848
Tb 0.2735 0.2735 0.8152
Tb 0.3333 0.6667 0.0000
Tb 0.3333 0.6667 0.5000
Tb 0.6667 0.3333 0.0000
Tb 0.6667 0.3333 0.5000
Tb 0.7265 0.0000 0.8152
Tb 0.7265 0.7265 0.1848
Ce 0.0000 0.0000 0.5000
Ho 0.0000 0.3764 0.6978
Ho 0.0000 0.6236 0.3022
Ho 0.3764 0.0000 0.6978
Ho 0.3764 0.3764 0.3022
Ho 0.6236 0.0000 0.3022
Ho 0.6236 0.6236 0.6978

***

[2]
A plane-wave DFT calculation with GGA-PBE was carried out for an optimized crystal structure of K2DyNp3O12.

Computed properties:
The uncorrected formation energy is -2.724 eV per atom. The calculated density comes out at 5.5 g cm⁻³. The calculation puts the volume at 347.8 Å³/cell. As for the crystal system: trigonal. As for the total magnetization: 2.0 Bohr magnetons per cell.

Unit cell a=7.7826 b=7.7826 c=7.7826 alpha=61.94 beta=61.94 gamma=61.94
Element x y z (fractional)
K 0.1667 0.1667 0.1667
K 0.8333 0.8333 0.8333
Dy 0.5000 0.5000 0.5000
Np 0.0000 0.5000 0.5000
Np 0.5000 0.0000 0.5000
Np 0.5000 0.5000 0.0000
O 0.1593 0.5728 0.5728
O 0.1908 0.1908 0.5610
O 0.1908 0.5610 0.1908
O 0.4272 0.4272 0.8407
O 0.4272 0.8407 0.4272
O 0.4390 0.8092 0.8092
O 0.5610 0.1908 0.1908
O 0.5728 0.1593 0.5728
O 0.5728 0.5728 0.1593
O 0.8092 0.4390 0.8092
O 0.8092 0.8092 0.4390
O 0.8407 0.4272 0.4272

***

[3]
A plane-wave DFT calculation with GGA-PBE was carried out for an optimized crystal structure of LiAcCd2.

Computed properties:
The formation enthalpy at 0 K is -0.22 eV/atom. The calculated density comes out at 6.8 g cm⁻³. The calculation puts the volume at 112.5 Å³/cell. As for the crystal system: cubic. As for the total magnetization: 0.0 Bohr magnetons per cell.

Unit cell a=5.4185 b=5.4185 c=5.4185 alpha=60.00 beta=60.00 gamma=60.00
Element x y z (fractional)
Li 0.0000 0.0000 0.0000
Ac 0.5000 0.5000 0.5000
Cd 0.2500 0.2500 0.2500
Cd 0.7500 0.7500 0.7500

***

[4]
A plane-wave DFT calculation with GGA-PBE was carried out for an optimized crystal structure of GaTeC3.

Computed properties:
The uncorrected formation energy is 2.631 eV per atom. The calculated density comes out at 5.7 g cm⁻³. The calculation puts the volume at 68.5 Å³/cell. As for the crystal system: cubic. As for the total magnetization: 0.5 Bohr magnetons per cell.

Unit cell a=4.0908 b=4.0908 c=4.0908 alpha=90.00 beta=90.00 gamma=90.00
Element x y z (fractional)
Ga 0.0000 0.0000 0.0000
Te 0.5000 0.5000 0.5000
C 0.0000 0.0000 0.5000
C 0.0000 0.5000 0.0000
C 0.5000 0.0000 0.0000

***

[5]
A plane-wave DFT calculation with GGA-PBE was carried out for an optimized crystal structure of TaAgHg2.

Computed properties:
The formation enthalpy at 0 K is 0.30 eV/atom. The calculated density comes out at 14.4 g cm⁻³. The calculation puts the volume at 79.7 Å³/cell. As for the crystal system: tetragonal. As for the total magnetization: 0.0 Bohr magnetons per cell.

Unit cell a=2.9555 b=2.9555 c=9.1263 alpha=90.00 beta=90.00 gamma=90.00
Element x y z (fractional)
Ta 0.0000 0.0000 0.0000
Ag 0.5000 0.5000 0.2307
Hg 0.0000 0.0000 0.4779
Hg 0.5000 0.5000 0.7609

***

calculated density of number 3 (LiAcCd2)? 6.8 g cm⁻³